# 1
Entry from Alexandria: a relaxed KSc3Zn crystal (PBE).

Results
Energy above the lowest structure with this stoichiometry = 0.000 eV/atom
SG = Pm-3m (221)

Lattice parameters (Å, degrees): 5.3105 5.3105 5.3105 90.00 90.00 90.00
Each line ends with the local moment (μB).
Positions (direct):
1 Sc 0.0000 0.5000 0.0000  0.28
2 Zn 0.0000 0.0000 0.0000  0.03
3 Sc 0.0000 0.0000 0.5000  0.20
4 Sc 0.5000 0.0000 0.0000  0.40
5 K 0.5000 0.5000 0.5000  0.03

=====

# 2
Entry from Alexandria: a relaxed YTlNi2 crystal (PBE).

Results
SG = Pmmm (47)

Lattice parameters (Å, degrees): 3.4370 3.3830 7.1453 61.73 90.00 90.00
Positions (direct):
1 Tl 0.5000 0.2500 0.2500
2 Y 0.5000 0.7500 0.7500
3 Ni 0.0000 0.5178 0.4826
4 Ni 0.0000 0.9822 0.0174

=====

Computed values of DFT formation energy (unit: eV per atom) for the preceding records, in sequence: 0.442 -0.072.
Computed values of spin magnetization (unit: μB/f.u.) for the preceding records, in sequence: 1.93 0.00.